Sc4Pt3Rh2: optimized geometry, GGA-PBE.

## Properties
total magnetization	0.0	μB/f.u.
V	309	Å³/cell
D(E_F)	0.4769	states/eV per atom
ΔH_f (0 K)	-1040	meV/atom

```
data_Sc4Pt3Rh2
_chemical_formula_sum 'Sc8 Pt6 Rh4'
_space_group_name_H-M_alt 'C 1 2/m 1'
_space_group_IT_number 12
_cell_length_a 8.5978
_cell_length_b 4.1930
_cell_length_c 8.6565
_cell_angle_alpha 90.00
_cell_angle_beta 97.82
_cell_angle_gamma 90.00
loop_
_space_group_symop_operation_xyz
'x,y,z'
'-x,-y,-z'
'-x,y,-z'
'x,-y,z'
'x+1/2,y+1/2,z'
'-x+1/2,-y+1/2,-z'
'-x+1/2,y+1/2,-z'
'x+1/2,-y+1/2,z'
loop_
_atom_site_label
_atom_site_fract_x
_atom_site_fract_y
_atom_site_fract_z
_atom_site_occupancy
Sc1 0.0326 0.0000 0.3369 1
Sc2 0.1611 0.5000 0.8856 1
Pt1 0.0000 0.0000 0.0000 1
Pt2 0.1573 0.5000 0.5682 1
Rh1 0.1801 0.5000 0.2148 1
```



Sc4Pt3Rh: optimized geometry, GGA-PBE.

## Properties
total magnetization	0.0	μB/f.u.
V	142	Å³/cell
D(E_F)	0.5821	states/eV per atom
ΔH_f (0 K)	-1183	meV/atom

```
data_Sc4Pt3Rh
_chemical_formula_sum 'Sc4 Pt3 Rh1'
_space_group_name_H-M_alt 'P 4/m m m'
_space_group_IT_number 123
_space_group_name_Hall '-P 4 2'
_cell_length_a 4.6533
_cell_length_b 4.6533
_cell_length_c 6.5396
_cell_angle_alpha 90.00
_cell_angle_beta 90.00
_cell_angle_gamma 90.00
loop_
_atom_site_label
_atom_site_fract_x
_atom_site_fract_y
_atom_site_fract_z
_atom_site_occupancy
Sc1 0.0000 0.5000 0.2489 1
Pt1 0.0000 0.0000 0.0000 1
Pt2 0.0000 0.0000 0.5000 1
Pt3 0.5000 0.5000 0.5000 1
Rh1 0.5000 0.5000 0.0000 1
```



ScPtRh2: optimized geometry, GGA-PBE.

## Properties
total magnetization	0.0	μB/f.u.
V	274	Å³/cell
D(E_F)	1.2968	states/eV per atom
ΔH_f (0 K)	-339	meV/atom

```
data_ScPtRh2
_chemical_formula_sum 'Sc4 Pt4 Rh8'
_space_group_name_H-M_alt 'I -4 2 d'
_space_group_IT_number 122
_space_group_name_Hall 'I -4 2bw'
_cell_length_a 3.8481
_cell_length_b 3.8481
_cell_length_c 18.5004
_cell_angle_alpha 90.00
_cell_angle_beta 90.00
_cell_angle_gamma 90.00
loop_
_atom_site_label
_atom_site_fract_x
_atom_site_fract_y
_atom_site_fract_z
_atom_site_occupancy
Sc1 0.0000 0.0000 0.0000 1
Pt1 0.0000 0.0000 0.5000 1
Rh1 0.2350 0.2500 0.6250 1
```



ScPtRh3: optimized geometry, GGA-PBE.

## Properties
ΔE to the lowest computed polymorph	1342	meV per atom
total magnetization	1.9	μB/f.u.
V	108	Å³/cell
D(E_F)	1.3525	states/eV per atom
ΔH_f (0 K)	864	meV/atom

```
data_ScPtRh3
_chemical_formula_sum 'Sc1 Pt1 Rh3'
_space_group_name_H-M_alt 'P m -3 m'
_space_group_IT_number 221
_space_group_name_Hall '-P 4 2 3'
_cell_length_a 4.7695
_cell_length_b 4.7695
_cell_length_c 4.7695
_cell_angle_alpha 90.00
_cell_angle_beta 90.00
_cell_angle_gamma 90.00
loop_
_atom_site_label
_atom_site_fract_x
_atom_site_fract_y
_atom_site_fract_z
_atom_site_occupancy
Sc1 0.0000 0.0000 0.0000 1
Pt1 0.5000 0.5000 0.5000 1
Rh1 0.0000 0.5000 0.5000 1
```



Sc2PtRh4: optimized geometry, GGA-PBE.

## Properties
total magnetization	0.0	μB/f.u.
V	241	Å³/cell
D(E_F)	1.3224	states/eV per atom
ΔH_f (0 K)	-447	meV/atom

```
data_Sc2PtRh4
_chemical_formula_sum 'Sc4 Pt2 Rh8'
_space_group_name_H-M_alt 'I 4/m m m'
_space_group_IT_number 139
_space_group_name_Hall '-I 4 2'
_cell_length_a 3.6465
_cell_length_b 3.6465
_cell_length_c 18.1134
_cell_angle_alpha 90.00
_cell_angle_beta 90.00
_cell_angle_gamma 90.00
loop_
_atom_site_label
_atom_site_fract_x
_atom_site_fract_y
_atom_site_fract_z
_atom_site_occupancy
Sc1 0.0000 0.0000 0.0949 1
Pt1 0.0000 0.0000 0.5000 1
Rh1 0.0000 0.0000 0.3565 1
Rh2 0.0000 0.5000 0.2500 1
```



ScPtRh2: optimized geometry, GGA-PBE.

## Properties
total magnetization	0.0	μB/f.u.
V	192	Å³/cell
D(E_F)	1.5440	states/eV per atom
ΔH_f (0 K)	-208	meV/atom

```
data_ScPtRh2
_chemical_formula_sum 'Sc3 Pt3 Rh6'
_space_group_name_H-M_alt 'R -3 m'
_space_group_IT_number 166
_space_group_name_Hall '-R 3 2"'
_cell_length_a 2.9066
_cell_length_b 2.9066
_cell_length_c 26.1839
_cell_angle_alpha 90.00
_cell_angle_beta 90.00
_cell_angle_gamma 120.00
loop_
_atom_site_label
_atom_site_fract_x
_atom_site_fract_y
_atom_site_fract_z
_atom_site_occupancy
Sc1 0.0000 0.0000 0.0000 1
Pt1 0.0000 0.0000 0.5000 1
Rh1 0.0000 0.0000 0.2530 1
```



| no. | VASP energy (eV per atom) |
| --- | --- |
| 1 | -7.50 |
| 2 | -7.53 |
| 3 | -7.11 |
| 4 | -6.02 |
| 5 | -7.32 |
| 6 | -6.98 |